Entry 1:
BaPbS2: optimized geometry, GGA-PBE.

```
data_BaPbS2
_cell_length_a 4.7424
_cell_length_b 4.7424
_cell_length_c 25.5538
_cell_angle_alpha 90.00
_cell_angle_beta 90.00
_cell_angle_gamma 120.00
_space_group_name_H-M_alt 'R -3 m'
_space_group_IT_number 166
_space_group_name_Hall '-R 3 2"'
loop_
_atom_site_label
_atom_site_type_symbol
_atom_site_fract_x
_atom_site_fract_y
_atom_site_fract_z
Ba1 Ba 0.0000 0.0000 0.0000
Pb1 Pb 0.0000 0.0000 0.5000
S1 S 0.0000 0.0000 0.3962
```

D(E_F) in states/eV per atom: 0.01
Uncorrected formation energy in eV/atom: -0.82
Spin magnetization in μB per cell: 0.00

---

Entry 2:
RbFe2H: optimized geometry, GGA-PBE.

```
data_RbFe2H
_cell_length_a 6.9763
_cell_length_b 6.9763
_cell_length_c 6.9763
_cell_angle_alpha 90.00
_cell_angle_beta 90.00
_cell_angle_gamma 90.00
_space_group_name_H-M_alt 'F m -3 m'
_space_group_IT_number 225
_space_group_name_Hall '-F 4 2 3'
loop_
_atom_site_label
_atom_site_type_symbol
_atom_site_fract_x
_atom_site_fract_y
_atom_site_fract_z
Rb1 Rb 0.0000 0.0000 0.0000
Fe1 Fe 0.2500 0.2500 0.2500
H1 H 0.0000 0.0000 0.5000
```

D(E_F) in states/eV per atom: 0.90
Spin magnetization in μB per cell: 27.54
Energy above the lowest structure with this stoichiometry in eV per atom: 1.213

---

Entry 3:
Nd4Pd5Au3: optimized geometry, GGA-PBE.

```
data_Nd4Pd5Au3
_cell_length_a 13.9667
_cell_length_b 4.9381
_cell_length_c 9.8385
_cell_angle_alpha 90.00
_cell_angle_beta 123.76
_cell_angle_gamma 90.00
_space_group_name_H-M_alt 'C 1 2/m 1'
_space_group_IT_number 12
loop_
_space_group_symop_operation_xyz
'x,y,z'
'-x,-y,-z'
'-x,y,-z'
'x,-y,z'
'x+1/2,y+1/2,z'
'-x+1/2,-y+1/2,-z'
'-x+1/2,y+1/2,-z'
'x+1/2,-y+1/2,z'
loop_
_atom_site_label
_atom_site_type_symbol
_atom_site_fract_x
_atom_site_fract_y
_atom_site_fract_z
Nd1 Nd 0.0396 0.0000 0.3109
Nd2 Nd 0.2458 0.5000 0.2466
Pd1 Pd 0.0000 0.0000 0.0000
Pd2 Pd 0.0758 0.5000 0.6595
Pd3 Pd 0.1957 0.5000 0.5088
Au1 Au 0.0000 0.5000 0.0000
Au2 Au 0.2124 0.0000 0.0337
```

D(E_F) in states/eV per atom: 0.65
Spin magnetization in μB per cell: 0.00
ΔH_f (0 K) in eV/atom: -0.53

---

Entry 4:
Tb3AlIn3: optimized geometry, GGA-PBE.

```
data_Tb3AlIn3
_cell_length_a 11.3788
_cell_length_b 4.5962
_cell_length_c 14.9717
_cell_angle_alpha 90.00
_cell_angle_beta 108.58
_cell_angle_gamma 90.00
_space_group_name_H-M_alt 'C 1 2/m 1'
_space_group_IT_number 12
loop_
_space_group_symop_operation_xyz
'x,y,z'
'-x,-y,-z'
'-x,y,-z'
'x,-y,z'
'x+1/2,y+1/2,z'
'-x+1/2,-y+1/2,-z'
'-x+1/2,y+1/2,-z'
'x+1/2,-y+1/2,z'
loop_
_atom_site_label
_atom_site_type_symbol
_atom_site_fract_x
_atom_site_fract_y
_atom_site_fract_z
Tb1 Tb 0.0242 0.0000 0.3798
Tb2 Tb 0.1034 0.0000 0.9229
Tb3 Tb 0.2337 0.0000 0.2253
Al1 Al 0.2350 0.5000 0.3771
In1 In 0.0133 0.5000 0.2304
In2 In 0.1186 0.5000 0.0753
In3 In 0.1415 0.5000 0.5414
```

D(E_F) in states/eV per atom: 0.92
Spin magnetization in μB per cell: 0.00
ΔH_f (0 K) in eV/atom: -0.43

---

Entry 5:
GeMo2Rh: optimized geometry, GGA-PBE.

```
data_GeMo2Rh
_cell_length_a 7.0114
_cell_length_b 7.0114
_cell_length_c 5.3242
_cell_angle_alpha 90.00
_cell_angle_beta 90.00
_cell_angle_gamma 90.00
_space_group_name_H-M_alt 'I -4 2 d'
_space_group_IT_number 122
_space_group_name_Hall 'I -4 2bw'
loop_
_atom_site_label
_atom_site_type_symbol
_atom_site_fract_x
_atom_site_fract_y
_atom_site_fract_z
Ge1 Ge 0.0000 0.0000 0.0000
Mo1 Mo 0.2476 0.2500 0.1250
Rh1 Rh 0.0000 0.0000 0.5000
```

D(E_F) in states/eV per atom: 0.90
Spin magnetization in μB per cell: 0.00
ΔH_f (0 K) in eV/atom: 0.40

---

Entry 6:
Sc2TlAu: optimized geometry, GGA-PBE.

```
data_Sc2TlAu
_cell_length_a 4.8324
_cell_length_b 3.5057
_cell_length_c 5.8331
_cell_angle_alpha 90.00
_cell_angle_beta 112.14
_cell_angle_gamma 90.00
_space_group_name_H-M_alt 'P 1 2/m 1'
_space_group_IT_number 10
loop_
_space_group_symop_operation_xyz
'x,y,z'
'-x,-y,-z'
'-x,y,-z'
'x,-y,z'
loop_
_atom_site_label
_atom_site_type_symbol
_atom_site_fract_x
_atom_site_fract_y
_atom_site_fract_z
Sc1 Sc 0.0000 0.0000 0.0000
Sc2 Sc 0.0000 0.5000 0.5000
Tl1 Tl 0.5000 0.0000 0.5000
Au1 Au 0.5000 0.5000 0.0000
```

D(E_F) in states/eV per atom: 0.76
Spin magnetization in μB per cell: 0.00
ΔH_f (0 K) in eV/atom: -0.34

---

Entry 7:
SiI2N: optimized geometry, GGA-PBE.

```
data_SiI2N
_cell_length_a 7.4310
_cell_length_b 7.4310
_cell_length_c 7.4310
_cell_angle_alpha 90.00
_cell_angle_beta 90.00
_cell_angle_gamma 90.00
_space_group_name_H-M_alt 'F m -3 m'
_space_group_IT_number 225
_space_group_name_Hall '-F 4 2 3'
loop_
_atom_site_label
_atom_site_type_symbol
_atom_site_fract_x
_atom_site_fract_y
_atom_site_fract_z
Si1 Si 0.0000 0.0000 0.0000
I1 I 0.2500 0.2500 0.2500
N1 N 0.0000 0.0000 0.5000
```

D(E_F) in states/eV per atom: 0.21
Uncorrected formation energy in eV/atom: 1.50
Spin magnetization in μB per cell: 11.96
Energy above the lowest structure with this stoichiometry in eV per atom: 0.022

---

Entry 8:
Pm7TlGe3: optimized geometry, GGA-PBE.

```
data_Pm7TlGe3
_cell_length_a 8.8532
_cell_length_b 10.8777
_cell_length_c 7.1321
_cell_angle_alpha 90.00
_cell_angle_beta 105.74
_cell_angle_gamma 90.00
_space_group_name_H-M_alt 'C 1 2/m 1'
_space_group_IT_number 12
loop_
_space_group_symop_operation_xyz
'x,y,z'
'-x,-y,-z'
'-x,y,-z'
'x,-y,z'
'x+1/2,y+1/2,z'
'-x+1/2,-y+1/2,-z'
'-x+1/2,y+1/2,-z'
'x+1/2,-y+1/2,z'
loop_
_atom_site_label
_atom_site_type_symbol
_atom_site_fract_x
_atom_site_fract_y
_atom_site_fract_z
Pm1 Pm 0.0000 0.0000 0.0000
Pm2 Pm 0.1587 0.5000 0.1888
Pm3 Pm 0.1800 0.2900 0.7127
Tl1 Tl 0.0000 0.0000 0.5000
Ge1 Ge 0.0000 0.2706 0.0000
Ge2 Ge 0.0000 0.5000 0.5000
```

D(E_F) in states/eV per atom: 0.72
Spin magnetization in μB per cell: 0.00
ΔH_f (0 K) in eV/atom: -0.46

---

Entry 9:
BaCuSbO5: optimized geometry, GGA-PBE.

```
data_BaCuSbO5
_cell_length_a 7.1921
_cell_length_b 9.7759
_cell_length_c 7.5098
_cell_angle_alpha 90.00
_cell_angle_beta 113.45
_cell_angle_gamma 90.00
_space_group_name_H-M_alt 'C 1 2/c 1'
_space_group_IT_number 15
loop_
_space_group_symop_operation_xyz
'x,y,z'
'-x,-y,-z'
'-x,y,-z+1/2'
'x,-y,z+1/2'
'x+1/2,y+1/2,z'
'-x+1/2,-y+1/2,-z'
'-x+1/2,y+1/2,-z+1/2'
'x+1/2,-y+1/2,z+1/2'
loop_
_atom_site_label
_atom_site_type_symbol
_atom_site_fract_x
_atom_site_fract_y
_atom_site_fract_z
Ba1 Ba 0.0000 0.1628 0.2500
Cu1 Cu 0.0000 0.1896 0.7500
Sb1 Sb 0.0000 0.5000 0.0000
O1 O 0.0000 0.4325 0.2500
O2 O 0.0924 0.3090 0.5996
O3 O 0.2062 0.0637 0.9129
```

D(E_F) in states/eV per atom: 0.43
Uncorrected formation energy in eV/atom: -1.43
Spin magnetization in μB per cell: 8.12
Energy above the lowest structure with this stoichiometry in eV per atom: 0.000

---

Entry 10:
Nd13Pt2: optimized geometry, GGA-PBE.

```
data_Nd13Pt2
_cell_length_a 6.7867
_cell_length_b 8.4984
_cell_length_c 9.5253
_cell_angle_alpha 64.73
_cell_angle_beta 82.45
_cell_angle_gamma 80.85
_space_group_name_H-M_alt 'P -1'
_space_group_IT_number 2
loop_
_space_group_symop_operation_xyz
'x,y,z'
'-x,-y,-z'
loop_
_atom_site_label
_atom_site_type_symbol
_atom_site_fract_x
_atom_site_fract_y
_atom_site_fract_z
Nd1 Nd 0.0000 0.0000 0.0000
Nd2 Nd 0.0261 0.2024 0.3387
Nd3 Nd 0.1757 0.6440 0.3646
Nd4 Nd 0.2411 0.5745 0.0234
Nd5 Nd 0.2889 0.3627 0.7747
Nd6 Nd 0.4537 0.0600 0.1560
Nd7 Nd 0.4947 0.7703 0.5613
Pt1 Pt 0.1765 0.0782 0.6719
```

D(E_F) in states/eV per atom: 1.37
Spin magnetization in μB per cell: 0.00
ΔH_f (0 K) in eV/atom: -0.25

---

Entry 11:
Er2Sn2BIr4: optimized geometry, GGA-PBE.

```
data_Er2Sn2BIr4
_cell_length_a 6.0714
_cell_length_b 6.0714
_cell_length_c 8.6520
_cell_angle_alpha 90.00
_cell_angle_beta 90.00
_cell_angle_gamma 90.00
_space_group_name_H-M_alt 'I 4/m m m'
_space_group_IT_number 139
_space_group_name_Hall '-I 4 2'
loop_
_atom_site_label
_atom_site_type_symbol
_atom_site_fract_x
_atom_site_fract_y
_atom_site_fract_z
Er1 Er 0.0000 0.0000 0.2109
Sn1 Sn 0.0000 0.5000 0.2500
B1 B 0.0000 0.0000 0.5000
Ir1 Ir 0.2426 0.2426 0.5000
```

D(E_F) in states/eV per atom: 0.50
Spin magnetization in μB per cell: 0.00
ΔH_f (0 K) in eV/atom: -0.40

---

Entry 12:
Ti2Co2Ir: optimized geometry, GGA-PBE.

```
data_Ti2Co2Ir
_cell_length_a 6.6393
_cell_length_b 6.6393
_cell_length_c 3.0355
_cell_angle_alpha 90.00
_cell_angle_beta 90.00
_cell_angle_gamma 90.00
_space_group_name_H-M_alt 'P 4/m b m'
_space_group_IT_number 127
_space_group_name_Hall '-P 4 2ab'
loop_
_atom_site_label
_atom_site_type_symbol
_atom_site_fract_x
_atom_site_fract_y
_atom_site_fract_z
Ti1 Ti 0.1836 0.3164 0.0000
Co1 Co 0.1215 0.6215 0.5000
Ir1 Ir 0.0000 0.0000 0.5000
```

D(E_F) in states/eV per atom: 1.26
Spin magnetization in μB per cell: 0.00
Energy above the lowest structure with this stoichiometry in eV per atom: 0.000
ΔH_f (0 K) in eV/atom: -0.44